[1]
Compound: CeLuScAg
Source: Alexandria
Functional: PBE
Structure: relaxed

Output
mass density: 8.291 Mg/m³
E_form: 0.5 eV/f.u.

Cell and atoms, written as CIF:
```
data_CeLuScAg
_space_group_name_H-M_alt 'P 1'
_space_group_IT_number 1
_space_group_name_Hall 'P 1'
_cell_length_a 5.099
_cell_length_b 5.099
_cell_length_c 5.099
_cell_angle_alpha 60.00
_cell_angle_beta 60.00
_cell_angle_gamma 60.00
loop_
_atom_site_label
_atom_site_fract_x
_atom_site_fract_y
_atom_site_fract_z
Ag1 0.250 0.250 0.250
Ce1 0.750 0.750 0.750
Sc1 0.500 0.500 0.500
Lu1 0.000 0.000 0.000
```

=====

[2]
Compound: TiGaSe2
Source: Alexandria
Functional: PBE
Structure: relaxed

Output
mass density: 3.842 Mg/m³
formation energy without anion corrections: -0.542 eV/atom

Cell and atoms, written as CIF:
```
data_TiGaSe2
_space_group_name_H-M_alt 'P 1'
_space_group_IT_number 1
_space_group_name_Hall 'P 1'
_cell_length_a 6.539
_cell_length_b 6.539
_cell_length_c 7.239
_cell_angle_alpha 63.15
_cell_angle_beta 63.15
_cell_angle_gamma 90.00
loop_
_atom_site_label
_atom_site_fract_x
_atom_site_fract_y
_atom_site_fract_z
Se1 0.875 0.813 0.750
Se2 0.563 0.125 0.250
Ga1 0.000 0.000 0.000
Ti1 0.250 0.750 0.500
Se3 0.375 0.437 0.750
Se4 0.187 0.625 0.250
Ti2 0.500 0.500 0.000
Ga2 0.750 0.250 0.500
```

=====

[3]
Compound: CdPtCl
Source: Alexandria
Functional: PBE
Structure: relaxed

Output
mass density: 9.864 Mg/m³
formation energy without anion corrections: -0.039 eV/atom

Cell and atoms, written as CIF:
```
data_CdPtCl
_space_group_name_H-M_alt 'P 1'
_space_group_IT_number 1
_space_group_name_Hall 'P 1'
_cell_length_a 6.243
_cell_length_b 6.243
_cell_length_c 6.243
_cell_angle_alpha 150.81
_cell_angle_beta 150.81
_cell_angle_gamma 41.75
loop_
_atom_site_label
_atom_site_fract_x
_atom_site_fract_y
_atom_site_fract_z
Cl1 0.339 0.339 0.000
Pt1 0.654 0.654 0.000
Cd1 0.007 0.007 0.000
```

=====

Repeat the first record exactly.
Compound: CeLuScAg
Source: Alexandria
Functional: PBE
Structure: relaxed

Output
mass density: 8.291 Mg/m³
E_form: 0.5 eV/f.u.

Cell and atoms, written as CIF:
```
data_CeLuScAg
_space_group_name_H-M_alt 'P 1'
_space_group_IT_number 1
_space_group_name_Hall 'P 1'
_cell_length_a 5.099
_cell_length_b 5.099
_cell_length_c 5.099
_cell_angle_alpha 60.00
_cell_angle_beta 60.00
_cell_angle_gamma 60.00
loop_
_atom_site_label
_atom_site_fract_x
_atom_site_fract_y
_atom_site_fract_z
Ag1 0.250 0.250 0.250
Ce1 0.750 0.750 0.750
Sc1 0.500 0.500 0.500
Lu1 0.000 0.000 0.000
```

=====

> Look up the mass density of the second one.

3.842 Mg/m³